Here is a geometry-optimized MnCrPt2 structure from the Alexandria database. Energies are from PBE.

Summary:
symmetry: Pmmm
DOS(E_F): 0.691 states/eV per atom
calculated volume: 14.596 A^3/atom
E_form: -0.326 eV/atom
crystal system: orthorhombic

a = 2.814 Å, b = 3.749 Å, c = 5.535 Å
α = 90.00°, β = 90.00°, γ = 90.00°
Last column: magnetic moment on the atom in μB.
Atoms (fractional coordinates):
1 Pt 0.000 0.000 0.003  0.11
2 Pt 0.000 0.000 0.497  0.11
3 Mn 0.500 0.500 0.750  3.62
4 Cr 0.500 0.500 0.250  -2.66